# 1
Below is NbInBr3 after structural relaxation, with properties calculated at the PBE-GGA level.

Results
- mass density (g/cm3) = 4.653
- ΔE_f (raw) (eV per atom) = -0.38
- symmetry = Pm-3m
- total magnetic moment (μB per formula unit) = 3.0
- density of states at the Fermi level (states/eV per cell) = 1.4

Cell lengths 5.4254, 5.4254, 5.4254 Å; angles 90.00, 90.00, 90.00 degrees
With the nearest neighbours (Å) after each atom.
Positions (direct):
1 Nb 0.0000 0.0000 0.0000  6 Br 2.71
2 Br 0.0000 0.5000 0.0000  2 Nb 2.71
3 Br 0.0000 0.0000 0.5000  2 Nb 2.71
4 Br 0.5000 0.0000 0.0000  2 Nb 2.71
5 In 0.5000 0.5000 0.5000  12 Br 3.84

=====

# 2
Below is SrMg3Zn3 after structural relaxation, with properties calculated at the PBE-GGA level.

Results
- mass density (g/cm3) = 3.613
- energy of formation (eV/atom) = -0.07
- symmetry = P6_3/m
- total magnetic moment (μB per formula unit) = 0.0
- density of states at the Fermi level (states/eV per cell) = 6.2

Cell lengths 4.3548, 9.3246, 9.3270 Å; angles 120.02, 90.00, 90.00 degrees
With the nearest neighbours (Å) after each atom.
Positions (direct):
1 Sr 0.7500 0.3334 0.6667  9 Zn 3.17-3.23
2 Sr 0.2500 0.6666 0.3333  9 Zn 3.17-3.23
3 Mg 0.7500 0.7753 0.0503  4 Zn 2.85-3.00
4 Mg 0.7500 0.2750 0.2248  4 Zn 2.85-3.00
5 Mg 0.7500 0.9497 0.7249  4 Zn 2.85-3.00
6 Mg 0.2500 0.2247 0.9497  4 Zn 2.85-3.00
7 Mg 0.2500 0.7250 0.7752  4 Zn 2.85-3.00
8 Mg 0.2500 0.0503 0.2751  4 Zn 2.85-3.00
9 Zn 0.7500 0.9494 0.4029  2 Zn 2.68, 4 Mg 2.85-3.00
10 Zn 0.7500 0.4534 0.0506  2 Zn 2.68, 4 Mg 2.85-3.00
11 Zn 0.7500 0.5971 0.5465  2 Zn 2.68, 4 Mg 2.85-3.00
12 Zn 0.2500 0.0506 0.5971  2 Zn 2.68, 4 Mg 2.85-3.00
13 Zn 0.2500 0.5466 0.9494  2 Zn 2.68, 4 Mg 2.85-3.00
14 Zn 0.2500 0.4029 0.4535  2 Zn 2.68, 4 Mg 2.85-3.00

=====

# 3
Below is KInSiSe4 after structural relaxation, with properties calculated at the PBE-GGA level.

Results
- mass density (g/cm3) = 3.609
- ΔE_f (raw) (eV per atom) = -0.67
- symmetry = Cmcm
- total magnetic moment (μB per formula unit) = 0.0

Cell lengths 7.9112, 7.9112, 7.8551 Å; angles 90.00, 90.00, 111.27 degrees
With the nearest neighbours (Å) after each atom.
Positions (direct):
1 K 0.5000 0.5000 0.5000  6 Se 3.32-3.36
2 K 0.5000 0.5000 0.0000  6 Se 3.32-3.36
3 In 0.8750 0.1250 0.2500  4 Se 2.64
4 In 0.1250 0.8750 0.7500  4 Se 2.64
5 Si 0.1316 0.8684 0.2500  4 Se 2.30
6 Si 0.8684 0.1316 0.7500  4 Se 2.30
7 Se 0.1799 0.2243 0.7500  1 Si 2.30
8 Se 0.7757 0.8201 0.7500  1 Si 2.30
9 Se 0.7572 0.2428 0.9776  1 Si 2.30
10 Se 0.7572 0.2428 0.5224  1 Si 2.30
11 Se 0.2428 0.7572 0.0223  1 Si 2.30
12 Se 0.2428 0.7572 0.4776  1 Si 2.30
13 Se 0.8201 0.7757 0.2500  1 Si 2.30
14 Se 0.2243 0.1799 0.2500  1 Si 2.30

=====

# 4
Below is Sr2CaNbAs after structural relaxation, with properties calculated at the PBE-GGA level.

Results
- mass density (g/cm3) = 3.012
- energy of formation (eV/atom) = 1.06
- symmetry = P4/mmm
- total magnetic moment (μB per formula unit) = 4.0
- density of states at the Fermi level (states/eV per cell) = 4.0

Cell lengths 6.3993, 5.1582, 6.3993 Å; angles 90.00, 90.00, 90.00 degrees
With the nearest neighbours (Å) after each atom.
Positions (direct):
1 Sr 0.0000 0.0000 0.5000  2 Ca 3.20
2 Sr 0.5000 0.0000 0.0000  2 Ca 3.20
3 Nb 0.5000 0.5000 0.5000  8 Sr 4.11, 4 As 4.52
4 Ca 0.0000 0.0000 0.0000  2 As 2.58
5 As 0.0000 0.5000 0.0000  2 Ca 2.58